(1)
This record from Alexandria describes a relaxed structure of CsKW3. The functional is PBE.

## Properties
E_form	21.14	eV per formula unit
total magnetization	0.002	μB/f.u.
excess energy over the best structure of this formula in the dataset	356.5	meV/atom
calculated total energy	-0.1445	hartree per atom

Cell: 4.9667 4.9667 4.9667 Å, 90.00 90.00 90.00°
Atoms (fractional coordinates):
Cs (0.0000, 0.0000, 0.0000)
K (0.5000, 0.5000, 0.5000)
W (0.0000, 0.5000, 0.5000)
W (0.5000, 0.0000, 0.5000)
W (0.5000, 0.5000, 0.0000)



(2)
This record from Alexandria describes a relaxed structure of SbPdSe3. The functional is PBE.

## Properties
formation energy (no corrections)	-0.08	eV/atom
total magnetization	0.000	μB/f.u.
excess energy over the best structure of this formula in the dataset	141.5	meV/atom
calculated total energy	-0.1484	hartree per atom

Cell: 9.1448 9.1448 9.6491 Å, 118.64 118.64 24.00°
Atoms (fractional coordinates):
Sb (0.1096, 0.1096, 0.3564)
Sb (0.8904, 0.8904, 0.6436)
Pd (0.3299, 0.3299, 0.1684)
Pd (0.6701, 0.6701, 0.8316)
Se (0.1699, 0.1699, 0.0002)
Se (0.3045, 0.3045, 0.4082)
Se (0.4879, 0.4879, 0.3361)
Se (0.5121, 0.5121, 0.6639)
Se (0.6955, 0.6955, 0.5918)
Se (0.8301, 0.8301, 0.9998)



(3)
This record from Alexandria describes a relaxed structure of SbRh2Se. The functional is PBE.

## Properties
formation energy (no corrections)	-0.11	eV/atom
total magnetization	0.000	μB/f.u.
calculated total energy	-0.2088	hartree per atom

Cell: 7.8998 7.8998 7.8998 Å, 23.79 23.79 23.79°
Atoms (fractional coordinates):
Sb (0.0000, 0.0000, 0.0000)
Rh (0.2484, 0.2484, 0.2484)
Rh (0.7516, 0.7516, 0.7516)
Se (0.5000, 0.5000, 0.5000)



(4)
This record from Alexandria describes a relaxed structure of SrBe2Tc. The functional is PBE.

## Properties
E_form	0.97	eV per formula unit
total magnetization	0.000	μB/f.u.
excess energy over the best structure of this formula in the dataset	49.6	meV/atom
calculated total energy	-0.1703	hartree per atom

Cell: 3.1596 3.1596 6.4606 Å, 90.00 90.00 90.00°
Atoms (fractional coordinates):
Sr (0.0000, 0.0000, 0.0000)
Be (0.5000, 0.5000, 0.3450)
Be (0.5000, 0.5000, 0.6550)
Tc (0.0000, 0.0000, 0.5000)



(5)
This record from Alexandria describes a relaxed structure of LaNd6Sm3Dy2. The functional is PBE.

## Properties
E_form	0.19	eV per formula unit
total magnetization	0.000	μB/f.u.
calculated total energy	-0.1736	hartree per atom

Cell: 6.3321 6.3321 12.1035 Å, 95.02 95.02 119.99°
Atoms (fractional coordinates):
La (0.0000, 0.0000, 0.0000)
Nd (0.0840, 0.4186, 0.2499)
Nd (0.2503, 0.2503, 0.7498)
Nd (0.4186, 0.0840, 0.2499)
Nd (0.5814, 0.9160, 0.7501)
Nd (0.7497, 0.7497, 0.2502)
Nd (0.9160, 0.5814, 0.7501)
Sm (0.1672, 0.8328, 0.5000)
Sm (0.5000, 0.5000, 0.5000)
Sm (0.8328, 0.1672, 0.5000)
Dy (0.3336, 0.6664, 0.0000)
Dy (0.6664, 0.3336, 0.0000)



(6)
This record from Alexandria describes a relaxed structure of K2RbHoCl6. The functional is PBE.

## Properties
formation energy (no corrections)	-2.13	eV/atom
total magnetization	0.000	μB/f.u.
calculated total energy	-0.1473	hartree per atom

Cell: 8.1142 8.1142 8.1142 Å, 57.18 57.18 57.18°
Atoms (fractional coordinates):
K (0.0000, 0.0000, 0.0000)
K (0.4895, 0.4895, 0.4895)
Rb (0.2070, 0.2070, 0.2070)
Ho (0.6962, 0.6962, 0.6962)
Cl (0.0345, 0.4602, 0.8016)
Cl (0.3511, 0.8855, 0.6067)
Cl (0.4602, 0.8016, 0.0345)
Cl (0.6067, 0.3511, 0.8855)
Cl (0.8016, 0.0345, 0.4602)
Cl (0.8855, 0.6067, 0.3511)



(7)
This record from Alexandria describes a relaxed structure of LiAcTbAg. The functional is PBE.

## Properties
E_form	-0.16	eV per formula unit
total magnetization	0.000	μB/f.u.
calculated total energy	-0.1256	hartree per atom

Cell: 5.4376 5.4376 5.4376 Å, 60.00 60.00 60.00°
Atoms (fractional coordinates):
Li (0.0000, 0.0000, 0.0000)
Ac (0.2500, 0.2500, 0.2500)
Tb (0.7500, 0.7500, 0.7500)
Ag (0.5000, 0.5000, 0.5000)



(8)
This record from Alexandria describes a relaxed structure of Li3Ca2Ag. The functional is PBE.

## Properties
E_form	-0.39	eV per formula unit
total magnetization	0.000	μB/f.u.
excess energy over the best structure of this formula in the dataset	40.9	meV/atom
calculated total energy	-0.0796	hartree per atom

Cell: 3.8952 4.8623 8.3791 Å, 90.00 90.00 90.00°
Atoms (fractional coordinates):
Li (0.0000, 0.0000, 0.0000)
Li (0.0000, 0.0000, 0.3385)
Li (0.0000, 0.5000, 0.8257)
Ca (0.5000, 0.0000, 0.6410)
Ca (0.5000, 0.5000, 0.1967)
Ag (0.0000, 0.5000, 0.5004)